The following is a GGA-PBEsol calculation of a geometry-optimized CoIr2Pt structure, from Alexandria via LeMat-Bulk.

Unit cell a=8.8415 b=2.6824 c=4.6298 alpha=90.00 beta=100.63 gamma=90.00
Closest atoms and distances in Å follow each position.
Space group C2/m (No. 12)
One atom of each set of equivalent atoms:
Co1 0.0000 0.0000 0.0000 [2 per cell]  6 Ir 2.61-2.70, 4 Pt 2.68, 2 Co 2.68
Ir1 0.2437 0.5000 0.2402 [4 per cell]  3 Co 2.61-2.70, 6 Ir 2.62-2.74, 3 Pt 2.65-2.72
Pt1 0.0000 0.5000 0.5000 [2 per cell]  6 Ir 2.65-2.72, 4 Co 2.68, 2 Pt 2.68

Summary:
formation energy from the elements = 30 meV per atom
DOS(E_F) = 4.6 states/eV/f.u.
electronic total energy = -8.5568 eV per atom


The following is a GGA-PBEsol calculation of a geometry-optimized CsBaH2Rh structure, from Alexandria via LeMat-Bulk.

Unit cell a=4.6938 b=4.6938 c=8.3267 alpha=90.00 beta=90.00 gamma=90.00
Closest atoms and distances in Å follow each position.
Space group P4/mmm (No. 123)
One atom of each set of equivalent atoms:
Cs1 0.0000 0.0000 0.0000 [1 per cell]  4 Rh 3.32
Ba1 0.0000 0.0000 0.5000 [1 per cell]  4 H 2.35
H1 0.0000 0.5000 0.5000 [2 per cell]  2 Ba 2.35
Rh1 0.5000 0.5000 0.0000 [1 per cell]  4 Cs 3.32

Summary:
DOS(E_F) = 5.8 states/eV/f.u.
electronic total energy = -2.6606 eV per atom